[1]
{"formula": "KLiOF2", "functional": "PBE-GGA", "state": "relaxed", "lattice": [[-1.517, -2.806, -3.691], [1.788, -3.937, 2.258], [-4.292, -0.653, 2.260]], "species": ["K", "F", "F", "O", "Li"], "fractional_positions": [[0.000, 0.000, 0.000], [0.500, 0.000, 0.000], [0.000, 0.500, 0.000], [0.000, 0.000, 0.500], [0.500, 0.500, 0.500]], "formation_energy_uncorrected_ev_per_atom": -0.973, "sg": "P4/mmm (123)", "total_energy_ev_per_atom": -3.32}

[2]
{"formula": "K2Li3OsF12", "functional": "PBE-GGA", "state": "relaxed", "lattice": [[7.870, 0.547, 0.388], [4.363, 6.573, 0.388], [4.363, 2.540, 6.075]], "species": ["F", "F", "F", "F", "F", "F", "F", "F", "F", "F", "F", "F", "Li", "Li", "Li", "K", "K", "Os"], "fractional_positions": [[0.327, 0.327, 0.921], [0.921, 0.327, 0.327], [0.078, 0.687, 0.078], [0.673, 0.673, 0.079], [0.673, 0.079, 0.673], [0.687, 0.078, 0.078], [0.327, 0.921, 0.327], [0.079, 0.673, 0.673], [0.313, 0.922, 0.922], [0.078, 0.078, 0.687], [0.922, 0.313, 0.922], [0.922, 0.922, 0.313], [0.000, 0.000, 0.500], [0.500, 0.000, 0.000], [0.000, 0.500, 0.000], [0.415, 0.415, 0.415], [0.585, 0.585, 0.585], [0.000, 0.000, 0.000]], "formation_energy_uncorrected_ev_per_atom": -2.153, "sg": "R-3m (166)", "total_energy_ev_per_atom": -4.47}

[3]
{"formula": "KLiOsF6", "functional": "PBE-GGA", "state": "relaxed", "lattice": [[-2.362, -4.166, 3.140], [2.220, -3.713, -3.258], [2.706, 1.747, 4.354]], "species": ["F", "F", "F", "F", "F", "F", "Li", "Os", "K"], "fractional_positions": [[0.312, 0.975, 0.682], [0.312, 0.707, 0.025], [0.688, 0.707, 0.682], [0.688, 0.318, 0.025], [0.312, 0.318, 0.293], [0.688, 0.975, 0.293], [0.500, 0.667, 0.333], [0.500, 0.000, 0.000], [0.000, 0.333, 0.667]], "formation_energy_uncorrected_ev_per_atom": -2.257, "sg": "P312 (149)", "total_energy_ev_per_atom": -5.09}